1.
UNbOs: relaxed, PBE.

Computed properties:
DFT formation energy   0.72 eV per atom
Polymorph energy (0 for the lowest one)   1.01 eV/f.u.

a = 4.444 Å, b = 4.444 Å, c = 4.444 Å
α = 60.00°, β = 60.00°, γ = 60.00°
Positions (direct):
Os 0.750 0.750 0.750
Nb 0.250 0.250 0.250
U 0.000 0.000 0.000

=====

2.
YNb2Os: relaxed, PBE.

Computed properties:
DFT formation energy   0.13 eV per atom

a = 4.731 Å, b = 4.731 Å, c = 4.731 Å
α = 60.00°, β = 60.00°, γ = 60.00°
Positions (direct):
Os 0.250 0.250 0.250
Nb 0.500 0.500 0.500
Y 0.000 0.000 0.000
Nb 0.750 0.750 0.750

=====

3.
YNbOs2: relaxed, PBE.

Computed properties:
DFT formation energy   0.25 eV per atom

a = 4.607 Å, b = 4.607 Å, c = 4.607 Å
α = 60.00°, β = 60.00°, γ = 60.00°
Site moments in Bohr magnetons follow the coordinates.
Positions (direct):
Os 0.250 0.250 0.250  0.07
Nb 0.500 0.500 0.500  0.00
Y 0.750 0.750 0.750  0.01
Os 0.000 0.000 0.000  0.11

=====

4.
NbZnOs2: relaxed, PBE.

Computed properties:
DFT formation energy   0.28 eV per atom

a = 4.420 Å, b = 4.420 Å, c = 4.420 Å
α = 60.00°, β = 60.00°, γ = 60.00°
Positions (direct):
Nb 0.250 0.250 0.250
Zn 0.500 0.500 0.500
Os 0.000 0.000 0.000
Os 0.750 0.750 0.750